PrGa9Pd2: optimized geometry, GGA-PBE.

Calculated values
Crystal system: tetragonal
M_tot (μB/atom): 0.000
Total energy (eV for the cell shown): -93.011
ΔE_f (meV per atom): -342

a b c (Å): 8.791 8.791 8.791
angles (deg): 98.31 98.31 135.32
Atoms (fractional coordinates):
Pr1 0.375 0.625 0.750
Pr2 0.625 0.375 0.250
Ga1 0.111 0.551 0.320
Ga2 0.111 0.791 0.560
Ga3 0.125 0.875 0.250
Ga4 0.209 0.268 0.320
Ga5 0.209 0.889 0.940
Ga6 0.268 0.209 0.820
Ga7 0.268 0.449 0.060
Ga8 0.449 0.268 0.560
Ga9 0.449 0.889 0.180
Ga10 0.551 0.111 0.820
Ga11 0.551 0.732 0.440
Ga12 0.732 0.551 0.940
Ga13 0.732 0.791 0.180
Ga14 0.791 0.111 0.060
Ga15 0.791 0.732 0.680
Ga16 0.875 0.125 0.750
Ga17 0.889 0.209 0.440
Ga18 0.889 0.449 0.680
Pd1 0.000 0.000 0.000
Pd2 0.000 0.000 0.500
Pd3 0.000 0.500 0.000
Pd4 0.500 0.000 0.500

=====

Pr12GaPd6: optimized geometry, GGA-PBE.

Calculated values
Crystal system: trigonal
M_tot (μB/atom): 0.000
Total energy (eV for the cell shown): -98.838
ΔE_f (meV per atom): -384

a b c (Å): 8.662 8.662 8.662
angles (deg): 100.61 100.61 100.61
Atoms (fractional coordinates):
Pr1 0.060 0.675 0.916
Pr2 0.084 0.940 0.325
Pr3 0.179 0.410 0.573
Pr4 0.325 0.084 0.940
Pr5 0.410 0.573 0.179
Pr6 0.427 0.821 0.590
Pr7 0.573 0.179 0.410
Pr8 0.590 0.427 0.821
Pr9 0.675 0.916 0.060
Pr10 0.821 0.590 0.427
Pr11 0.916 0.060 0.675
Pr12 0.940 0.325 0.084
Ga1 0.000 0.000 0.000
Pd1 0.136 0.616 0.323
Pd2 0.323 0.136 0.616
Pd3 0.384 0.677 0.864
Pd4 0.616 0.323 0.136
Pd5 0.677 0.864 0.384
Pd6 0.864 0.384 0.677

=====

Pr2Ga4Pd5: optimized geometry, GGA-PBE.

Calculated values
Crystal system: orthorhombic
M_tot (μB/atom): 0.000
Total energy (eV for the cell shown): -55.792
ΔE_f (meV per atom): -742

a b c (Å): 9.181 8.316 5.601
angles (deg): 79.97 63.11 36.92
Atoms (fractional coordinates):
Pr1 0.133 0.133 0.867
Pr2 0.867 0.867 0.133
Ga1 0.214 0.527 0.473
Ga2 0.473 0.786 0.214
Ga3 0.527 0.214 0.786
Ga4 0.786 0.473 0.527
Pd1 0.000 0.000 0.500
Pd2 0.250 0.250 0.250
Pd3 0.500 0.500 0.000
Pd4 0.500 0.500 0.500
Pd5 0.750 0.750 0.750

=====

Pr2GaPd3: optimized geometry, GGA-PBE.

Calculated values
Crystal system: orthorhombic
M_tot (μB/atom): 0.000
Total energy (eV for the cell shown): -65.514
ΔE_f (meV per atom): -765

a b c (Å): 9.008 8.658 5.914
angles (deg): 73.67 67.28 39.05
Atoms (fractional coordinates):
Pr1 0.247 0.753 0.753
Pr2 0.250 0.250 0.250
Pr3 0.750 0.750 0.750
Pr4 0.753 0.247 0.247
Ga1 0.332 0.332 0.668
Ga2 0.668 0.668 0.332
Pd1 0.171 0.171 0.829
Pd2 0.176 0.651 0.349
Pd3 0.349 0.824 0.176
Pd4 0.651 0.176 0.824
Pd5 0.824 0.349 0.651
Pd6 0.829 0.829 0.171

=====

PrGa12Pd4: optimized geometry, GGA-PBE.

Calculated values
Crystal system: cubic
M_tot (μB/atom): 0.000
Total energy (eV for the cell shown): -66.561
ΔE_f (meV per atom): -276

a b c (Å): 7.646 7.646 7.646
angles (deg): 109.47 109.47 109.47
Atoms (fractional coordinates):
Pr1 0.000 0.000 0.000
Ga1 0.153 0.348 0.501
Ga2 0.153 0.652 0.804
Ga3 0.196 0.847 0.348
Ga4 0.348 0.196 0.847
Ga5 0.348 0.501 0.153
Ga6 0.499 0.847 0.652
Ga7 0.501 0.153 0.348
Ga8 0.652 0.499 0.847
Ga9 0.652 0.804 0.153
Ga10 0.804 0.153 0.652
Ga11 0.847 0.348 0.196
Ga12 0.847 0.652 0.499
Pd1 0.000 0.000 0.500
Pd2 0.000 0.500 0.000
Pd3 0.500 0.000 0.000
Pd4 0.500 0.500 0.500

=====

PrGa3Pd2: optimized geometry, GGA-PBE.

Calculated values
Crystal system: hexagonal
M_tot (μB/atom): 0.000
Total energy (eV for the cell shown): -57.055
ΔE_f (meV per atom): -714

a b c (Å): 4.329 4.329 13.988
angles (deg): 90.00 90.00 120.00
Atoms (fractional coordinates):
Pr1 0.000 0.000 0.250
Pr2 0.000 0.000 0.750
Ga1 0.000 0.000 0.000
Ga2 0.000 0.000 0.500
Ga3 0.333 0.667 0.121
Ga4 0.333 0.667 0.379
Ga5 0.667 0.333 0.621
Ga6 0.667 0.333 0.879
Pd1 0.333 0.667 0.572
Pd2 0.333 0.667 0.928
Pd3 0.667 0.333 0.072
Pd4 0.667 0.333 0.428

=====

Pr2Ga5Pd3: optimized geometry, GGA-PBE.

Calculated values
Crystal system: orthorhombic
M_tot (μB/atom): 0.000
Total energy (eV for the cell shown): -96.317
ΔE_f (meV per atom): -789

a b c (Å): 8.753 8.753 8.753
angles (deg): 107.28 85.87 140.80
Atoms (fractional coordinates):
Pr1 0.136 0.227 0.362
Pr2 0.364 0.727 0.091
Pr3 0.636 0.273 0.909
Pr4 0.864 0.773 0.638
Ga1 0.038 0.750 0.288
Ga2 0.099 0.663 0.762
Ga3 0.250 0.250 0.000
Ga4 0.401 0.163 0.564
Ga5 0.462 0.750 0.712
Ga6 0.538 0.250 0.288
Ga7 0.599 0.837 0.436
Ga8 0.750 0.750 0.000
Ga9 0.901 0.337 0.238
Ga10 0.962 0.250 0.712
Pd1 0.142 0.901 0.043
Pd2 0.250 0.750 0.500
Pd3 0.358 0.401 0.759
Pd4 0.642 0.599 0.241
Pd5 0.750 0.250 0.500
Pd6 0.858 0.099 0.957

=====

Pr4Ga16Pd3: optimized geometry, GGA-PBE.

Calculated values
Crystal system: tetragonal
M_tot (μB/atom): 0.000
Total energy (eV for the cell shown): -96.621
ΔE_f (meV per atom): -587

a b c (Å): 6.319 6.319 11.362
angles (deg): 90.00 90.00 90.00
Atoms (fractional coordinates):
Pr1 0.000 0.500 0.192
Pr2 0.000 0.500 0.808
Pr3 0.500 0.000 0.192
Pr4 0.500 0.000 0.808
Ga1 0.000 0.000 0.200
Ga2 0.000 0.000 0.800
Ga3 0.209 0.209 0.000
Ga4 0.209 0.791 0.000
Ga5 0.244 0.244 0.379
Ga6 0.244 0.244 0.621
Ga7 0.244 0.756 0.379
Ga8 0.244 0.756 0.621
Ga9 0.500 0.500 0.233
Ga10 0.500 0.500 0.767
Ga11 0.756 0.244 0.379
Ga12 0.756 0.244 0.621
Ga13 0.756 0.756 0.379
Ga14 0.756 0.756 0.621
Ga15 0.791 0.209 0.000
Ga16 0.791 0.791 0.000
Pd1 0.000 0.500 0.500
Pd2 0.500 0.000 0.500
Pd3 0.500 0.500 0.000

=====

Pr3Ga8Pd3: optimized geometry, GGA-PBE.

Calculated values
Crystal system: monoclinic
M_tot (μB/atom): 0.000
Total energy (eV for the cell shown): -63.791
ΔE_f (meV per atom): -690

a b c (Å): 8.327 8.327 9.102
angles (deg): 122.14 122.14 31.55
Atoms (fractional coordinates):
Pr1 0.000 0.000 0.000
Pr2 0.291 0.291 0.303
Pr3 0.709 0.709 0.697
Ga1 0.138 0.138 0.425
Ga2 0.150 0.150 0.866
Ga3 0.349 0.349 0.718
Ga4 0.495 0.495 0.321
Ga5 0.505 0.505 0.679
Ga6 0.651 0.651 0.282
Ga7 0.850 0.850 0.134
Ga8 0.862 0.862 0.575
Pd1 0.000 0.000 0.500
Pd2 0.347 0.347 0.996
Pd3 0.653 0.653 0.004

=====

Pr2GaPd4: optimized geometry, GGA-PBE.

Calculated values
Crystal system: orthorhombic
M_tot (μB/atom): 0.000
Total energy (eV for the cell shown): -36.612
ΔE_f (meV per atom): -465

a b c (Å): 8.379 8.083 4.755
angles (deg): 76.66 69.82 33.52
Atoms (fractional coordinates):
Pr1 0.141 0.141 0.859
Pr2 0.859 0.859 0.141
Ga1 0.500 0.500 0.500
Pd1 0.000 0.000 0.500
Pd2 0.335 0.335 0.665
Pd3 0.500 0.500 0.000
Pd4 0.665 0.665 0.335

=====

Pr6GaPd2: optimized geometry, GGA-PBE.

Calculated values
Crystal system: orthorhombic
M_tot (μB/atom): 0.000
Total energy (eV for the cell shown): -92.232
ΔE_f (meV per atom): -447

a b c (Å): 8.833 8.833 8.833
angles (deg): 113.33 109.34 105.83
Atoms (fractional coordinates):
Pr1 0.050 0.241 0.808
Pr2 0.178 0.282 0.460
Pr3 0.178 0.718 0.896
Pr4 0.329 0.031 0.702
Pr5 0.329 0.628 0.298
Pr6 0.433 0.241 0.192
Pr7 0.567 0.759 0.808
Pr8 0.671 0.372 0.702
Pr9 0.671 0.969 0.298
Pr10 0.822 0.282 0.104
Pr11 0.822 0.718 0.540
Pr12 0.950 0.759 0.192
Ga1 0.000 0.000 0.000
Ga2 0.500 0.500 0.000
Pd1 0.130 0.630 0.500
Pd2 0.348 0.000 0.348
Pd3 0.652 0.000 0.652
Pd4 0.870 0.370 0.500

=====

Pr8Ga2Pd: optimized geometry, GGA-PBE.

Calculated values
Crystal system: orthorhombic
M_tot (μB/atom): 0.000
Total energy (eV for the cell shown): -52.217
ΔE_f (meV per atom): -249

a b c (Å): 9.561 9.561 9.561
angles (deg): 147.34 136.05 55.82
Atoms (fractional coordinates):
Pr1 0.131 0.366 0.765
Pr2 0.199 0.199 0.000
Pr3 0.259 0.000 0.259
Pr4 0.399 0.634 0.765
Pr5 0.601 0.366 0.235
Pr6 0.741 0.000 0.741
Pr7 0.801 0.801 0.000
Pr8 0.869 0.634 0.235
Ga1 0.316 0.816 0.500
Ga2 0.684 0.184 0.500
Pd1 0.000 0.500 0.500

=====

Pr2Ga2Pd: optimized geometry, GGA-PBE.

Calculated values
Crystal system: monoclinic
M_tot (μB/atom): 0.000
Total energy (eV for the cell shown): -48.624
ΔE_f (meV per atom): -701

a b c (Å): 5.835 5.835 11.058
angles (deg): 115.88 115.88 45.94
Atoms (fractional coordinates):
Pr1 0.014 0.014 0.330
Pr2 0.194 0.194 0.117
Pr3 0.806 0.806 0.883
Pr4 0.986 0.986 0.670
Ga1 0.357 0.357 0.442
Ga2 0.483 0.483 0.111
Ga3 0.517 0.517 0.889
Ga4 0.643 0.643 0.558
Pd1 0.272 0.272 0.653
Pd2 0.728 0.728 0.347

=====

PrGa2Pd3: optimized geometry, GGA-PBE.

Calculated values
Crystal system: orthorhombic
M_tot (μB/atom): 0.000
Total energy (eV for the cell shown): -60.746
ΔE_f (meV per atom): -660

a b c (Å): 4.679 10.058 4.835
angles (deg): 90.00 90.00 90.00
Atoms (fractional coordinates):
Pr1 0.250 0.250 0.144
Pr2 0.750 0.750 0.856
Ga1 0.250 0.568 0.141
Ga2 0.250 0.932 0.141
Ga3 0.750 0.068 0.859
Ga4 0.750 0.432 0.859
Pd1 0.250 0.028 0.661
Pd2 0.250 0.472 0.661
Pd3 0.250 0.750 0.475
Pd4 0.750 0.250 0.525
Pd5 0.750 0.528 0.339
Pd6 0.750 0.972 0.339

=====

PrGaPd: optimized geometry, GGA-PBE.

Calculated values
Crystal system: cubic
M_tot (μB/atom): 0.000
Total energy (eV for the cell shown): -59.049
ΔE_f (meV per atom): -588

a b c (Å): 6.660 6.660 6.660
angles (deg): 90.00 90.00 90.00
Atoms (fractional coordinates):
Pr1 0.000 0.000 0.000
Pr2 0.000 0.500 0.500
Pr3 0.500 0.000 0.500
Pr4 0.500 0.500 0.000
Ga1 0.000 0.000 0.500
Ga2 0.000 0.500 0.000
Ga3 0.500 0.000 0.000
Ga4 0.500 0.500 0.500
Pd1 0.250 0.250 0.750
Pd2 0.250 0.750 0.250
Pd3 0.750 0.250 0.250
Pd4 0.750 0.750 0.750

=====

Pr2GaPd3: optimized geometry, GGA-PBE.

Calculated values
Crystal system: orthorhombic
M_tot (μB/atom): 0.000
Total energy (eV for the cell shown): -32.868
ΔE_f (meV per atom): -784

a b c (Å): 3.803 4.431 7.959
angles (deg): 90.00 90.00 90.00
Atoms (fractional coordinates):
Pr1 0.000 0.000 0.000
Pr2 0.000 0.500 0.473
Ga1 0.500 0.500 0.810
Pd1 0.500 0.000 0.325
Pd2 0.500 0.000 0.665
Pd3 0.500 0.500 0.128

=====

Pr4Ga12Pd: optimized geometry, GGA-PBE.

Calculated values
Crystal system: cubic
M_tot (μB/atom): 0.000
Total energy (eV for the cell shown): -71.101
ΔE_f (meV per atom): -616

a b c (Å): 7.657 7.657 7.657
angles (deg): 109.47 109.47 109.47
Atoms (fractional coordinates):
Pr1 0.000 0.000 0.500
Pr2 0.000 0.500 0.000
Pr3 0.500 0.000 0.000
Pr4 0.500 0.500 0.500
Ga1 0.000 0.297 0.297
Ga2 0.000 0.703 0.703
Ga3 0.250 0.500 0.750
Ga4 0.250 0.750 0.500
Ga5 0.297 0.000 0.297
Ga6 0.297 0.297 0.000
Ga7 0.500 0.250 0.750
Ga8 0.500 0.750 0.250
Ga9 0.703 0.000 0.703
Ga10 0.703 0.703 0.000
Ga11 0.750 0.250 0.500
Ga12 0.750 0.500 0.250
Pd1 0.000 0.000 0.000

=====

Pr4GaPd: optimized geometry, GGA-PBE.

Calculated values
Crystal system: monoclinic
M_tot (μB/atom): 0.000
Total energy (eV for the cell shown): -59.382
ΔE_f (meV per atom): -392

a b c (Å): 6.385 7.085 8.523
angles (deg): 90.00 109.63 90.00
Atoms (fractional coordinates):
Pr1 0.006 0.001 0.238
Pr2 0.006 0.499 0.238
Pr3 0.410 0.250 0.614
Pr4 0.426 0.250 0.098
Pr5 0.574 0.750 0.902
Pr6 0.590 0.750 0.386
Pr7 0.994 0.501 0.762
Pr8 0.994 0.999 0.762
Ga1 0.214 0.750 0.554
Ga2 0.786 0.250 0.446
Pd1 0.230 0.750 0.058
Pd2 0.770 0.250 0.942

=====

Pr2Ga9Pd6: optimized geometry, GGA-PBE.

Calculated values
Crystal system: hexagonal
M_tot (μB/atom): 0.000
Total energy (eV for the cell shown): -77.440
ΔE_f (meV per atom): -558

a b c (Å): 5.450 5.450 12.764
angles (deg): 90.00 90.00 120.00
Atoms (fractional coordinates):
Pr1 0.000 0.000 0.159
Pr2 0.000 0.000 0.841
Ga1 0.000 0.500 0.000
Ga2 0.000 0.500 0.340
Ga3 0.000 0.500 0.660
Ga4 0.500 0.000 0.000
Ga5 0.500 0.000 0.340
Ga6 0.500 0.000 0.660
Ga7 0.500 0.500 0.000
Ga8 0.500 0.500 0.340
Ga9 0.500 0.500 0.660
Pd1 0.333 0.667 0.173
Pd2 0.333 0.667 0.500
Pd3 0.333 0.667 0.827
Pd4 0.667 0.333 0.173
Pd5 0.667 0.333 0.500
Pd6 0.667 0.333 0.827